# 1
First-principles (SCAN) data for a crystal of BaNa2B2 relaxed with PBEsol, as listed in Alexandria via LeMat-Bulk.

POSCAR file:
```
BaNa2B2
1.0
-2.4538 2.4538 4.5385
2.4538 -2.4538 4.5385
2.4538 2.4538 -4.5385
Ba Na B
1 2 2
direct
0.0000 0.0000 0.0000
0.3506 0.3506 0.0000
0.6494 0.6494 0.0000
0.2500 0.7500 0.5000
0.7500 0.2500 0.5000
```

Computed properties:
total DFT energy (no corrections) = -11.45 eV/atom
space-group type = I4/mmm, No. 139
mass density = 3.113 Mg/m³
formation energy from the elements = 5.60 eV/f.u.

=====

# 2
First-principles (SCAN) data for a crystal of ReNiIr2 relaxed with PBEsol, as listed in Alexandria via LeMat-Bulk.

POSCAR file:
```
ReNiIr2
1.0
4.4133 -1.3393 0.0000
4.4133 1.3393 0.0000
-0.7880 0.0000 4.5259
Re Ni Ir
1 1 2
direct
0.0000 0.0000 0.0000
0.5000 0.5000 0.5000
0.2513 0.2513 0.7473
0.7487 0.7487 0.2527
```

Computed properties:
energy relative to the lowest polymorph listed for this composition = 0.079 eV/atom
total DFT energy (no corrections) = -57.44 eV/atom
space-group type = C2/m, No. 12
mass density = 19.532 Mg/m³
formation energy from the elements = -0.31 eV/f.u.

=====

# 3
First-principles (SCAN) data for a crystal of Ti2C relaxed with PBEsol, as listed in Alexandria via LeMat-Bulk.

POSCAR file:
```
Ti2C
1.0
1.5276 0.8819 4.7703
-1.5276 0.8819 4.7703
0.0000 -1.7639 4.7703
Ti C
2 1
direct
0.2460 0.2460 0.2460
0.7540 0.7540 0.7540
0.5000 0.5000 0.5000
```

Computed properties:
total DFT energy (no corrections) = -14.77 eV/atom
space-group type = R-3m, No. 166
mass density = 4.640 Mg/m³
formation energy from the elements = -2.16 eV/f.u.

=====

# 4
First-principles (SCAN) data for a crystal of Nd9Ga4 relaxed with PBEsol, as listed in Alexandria via LeMat-Bulk.

POSCAR file:
```
Nd9Ga4
1.0
-5.9360 5.9360 2.5377
5.9360 -5.9360 2.5377
5.9360 5.9360 -2.5377
Nd Ga
9 4
direct
0.0000 0.0000 0.0000
0.0951 0.3734 0.4685
0.3131 0.6082 0.9213
0.3734 0.9049 0.2783
0.3918 0.3131 0.7049
0.6082 0.6869 0.2951
0.6266 0.0951 0.7217
0.6869 0.3918 0.0787
0.9049 0.6266 0.5315
0.1134 0.7693 0.8826
0.2307 0.1134 0.3441
0.7693 0.8866 0.6559
0.8866 0.2307 0.1174
```

Computed properties:
total DFT energy (no corrections) = -35.65 eV/atom
space-group type = I4/m, No. 87
mass density = 7.322 Mg/m³
formation energy from the elements = -5.86 eV/f.u.

=====

# 5
First-principles (SCAN) data for a crystal of Ba2ZrNbIn relaxed with PBEsol, as listed in Alexandria via LeMat-Bulk.

POSCAR file:
```
Ba2ZrNbIn
1.0
6.2364 0.0000 0.0000
0.0000 6.2364 0.0000
0.0000 0.0000 4.8419
Ba Zr Nb In
2 1 1 1
direct
0.0000 0.5000 0.0000
0.5000 0.0000 0.0000
0.0000 0.0000 0.0000
0.0000 0.0000 0.5000
0.5000 0.5000 0.5000
```

Computed properties:
total DFT energy (no corrections) = -34.39 eV/atom
space-group type = P4/mmm, No. 123
mass density = 5.058 Mg/m³
formation energy from the elements = 4.39 eV/f.u.

=====

# 6
First-principles (SCAN) data for a crystal of Sr2TlCrOs relaxed with PBEsol, as listed in Alexandria via LeMat-Bulk.

POSCAR file:
```
Sr2TlCrOs
1.0
5.8336 0.0000 0.0000
0.0000 5.8336 0.0000
0.0000 0.0000 4.3450
Sr Tl Cr Os
2 1 1 1
direct
0.0000 0.5000 0.0000
0.5000 0.0000 0.0000
0.0000 0.0000 0.5000
0.5000 0.5000 0.0000
0.5000 0.5000 0.5000
```

Computed properties:
total DFT energy (no corrections) = -40.86 eV/atom
space-group type = P4/mmm, No. 123
mass density = 6.983 Mg/m³
formation energy from the elements = 2.87 eV/f.u.

=====

# 7
First-principles (SCAN) data for a crystal of BaCu2PH relaxed with PBEsol, as listed in Alexandria via LeMat-Bulk.

POSCAR file:
```
BaCu2PH
1.0
5.9236 0.0000 0.0000
0.0000 5.9236 0.0000
0.0000 0.0000 6.0882
Ba Cu P H
1 2 1 1
direct
0.0000 0.0000 0.0000
0.0000 0.5000 0.0000
0.5000 0.0000 0.0000
0.0000 0.0000 0.5000
0.5000 0.5000 0.5000
```

Computed properties:
total DFT energy (no corrections) = -14.93 eV/atom
space-group type = P4/mmm, No. 123
mass density = 2.304 Mg/m³

=====

# 8
First-principles (SCAN) data for a crystal of HfInSb2Te relaxed with PBEsol, as listed in Alexandria via LeMat-Bulk.

POSCAR file:
```
HfInSb2Te
1.0
5.4816 0.0000 0.0000
0.0000 5.4816 0.0000
0.0000 0.0000 5.4686
Hf In Sb Te
1 1 2 1
direct
0.0000 0.0000 0.0000
0.5000 0.5000 0.5000
0.0000 0.5000 0.0000
0.5000 0.0000 0.0000
0.0000 0.0000 0.5000
```

Computed properties:
total DFT energy (no corrections) = -41.47 eV/atom
space-group type = P4/mmm, No. 123
mass density = 6.714 Mg/m³
raw formation energy = 0.0954 eV per atom

=====

# 9
First-principles (SCAN) data for a crystal of LiMoPt2 relaxed with PBEsol, as listed in Alexandria via LeMat-Bulk.

POSCAR file:
```
LiMoPt2
1.0
2.6887 0.0000 0.0000
0.0000 4.4639 0.0000
0.0000 0.0000 4.7525
Li Mo Pt
1 1 2
direct
0.0000 0.0000 0.0000
0.0000 0.5000 0.3660
0.5000 0.0000 0.5163
0.5000 0.5000 0.8866
```

Computed properties:
energy relative to the lowest polymorph listed for this composition = 0.029 eV/atom
total DFT energy (no corrections) = -44.92 eV/atom
space-group type = Pmm2, No. 25
mass density = 14.353 Mg/m³
formation energy from the elements = -2.03 eV/f.u.

=====

# 10
First-principles (SCAN) data for a crystal of MgCu2 relaxed with PBEsol, as listed in Alexandria via LeMat-Bulk.

POSCAR file:
```
MgCu2
1.0
-1.5220 1.5220 4.3907
1.5220 -1.5220 4.3907
1.5220 1.5220 -4.3907
Mg Cu
1 2
direct
0.0000 0.0000 0.0000
0.3184 0.3184 0.0000
0.6816 0.6816 0.0000
```

Computed properties:
total DFT energy (no corrections) = -11.86 eV/atom
space-group type = I4/mmm, No. 139
mass density = 6.179 Mg/m³
formation energy from the elements = -0.20 eV/f.u.

=====

# 11
First-principles (SCAN) data for a crystal of CoAu2Br relaxed with PBEsol, as listed in Alexandria via LeMat-Bulk.

POSCAR file:
```
CoAu2Br
1.0
1.4418 0.8324 9.7137
-1.4418 0.8324 9.7137
0.0000 -1.6649 9.7137
Co Au Br
1 2 1
direct
0.0000 0.0000 0.0000
0.2637 0.2637 0.2637
0.7363 0.7363 0.7363
0.5000 0.5000 0.5000
```

Computed properties:
total DFT energy (no corrections) = -43.41 eV/atom
space-group type = R-3m, No. 166
mass density = 12.647 Mg/m³
raw formation energy = 0.3598 eV per atom

=====

# 12
First-principles (SCAN) data for a crystal of MnAs3F relaxed with PBEsol, as listed in Alexandria via LeMat-Bulk.

POSCAR file:
```
MnAs3F
1.0
4.4792 0.0000 0.0000
0.0000 4.4792 0.0000
0.0000 0.0000 4.4792
Mn As F
1 3 1
direct
0.0000 0.0000 0.0000
0.0000 0.0000 0.5000
0.0000 0.5000 0.0000
0.5000 0.0000 0.0000
0.5000 0.5000 0.5000
```

Computed properties:
total DFT energy (no corrections) = -16.47 eV/atom
space-group type = Pm-3m, No. 221
mass density = 5.519 Mg/m³
raw formation energy = 0.0047 eV per atom